(P)
Computed, not measured: crystalline RhPbCl2 at its relaxed geometry at the PBE level of DFT.

abc: 3.3789 3.3789 28.0145
angles: 90.00 90.00 120.00
Closest atoms and distances in Å follow each position.
Space group R-3m (No. 166, hexagonal axes)
Unique sites:
Rh 0.0000 0.0000 0.0000  2 Cl 2.28
Pb 0.0000 0.0000 0.5000  6 Cl 3.09, 6 Pb 3.38
Cl 0.0000 0.0000 0.0813  1 Rh 2.28

***

(Q)
Computed, not measured: crystalline RhPbCl2 at its relaxed geometry at the PBE level of DFT.

abc: 3.3501 4.0166 14.5439
angles: 90.00 90.00 90.00
Closest atoms and distances in Å follow each position.
Space group Imm2 (No. 44)
Unique sites:
Rh 0.0000 0.0000 0.0000  4 Cl 2.63, 2 Pb 2.85
Pb 0.0000 0.5000 0.3411  2 Rh 2.85, 4 Cl 3.00
Cl 0.0000 0.0000 0.5168  4 Rh 2.63
Cl 0.0000 0.5000 0.7403  4 Pb 3.00, 2 Cl 3.35

***

Of them, (Q) has the highest stability.

***

(P)
Computed, not measured: crystalline RhPbCl2 at its relaxed geometry at the PBE level of DFT.

abc: 3.5451 3.5451 25.2368
angles: 90.00 90.00 120.00
Closest atoms and distances in Å follow each position.
Space group R-3m (No. 166, hexagonal axes)
Unique sites:
Rh 0.0000 0.0000 0.0000  6 Cl 2.53
Pb 0.0000 0.0000 0.5000  6 Cl 3.41, 6 Pb 3.55
Cl 0.0000 0.0000 0.2745  3 Rh 2.53

***

(Q)
Computed, not measured: crystalline RhPbCl2 at its relaxed geometry at the PBE level of DFT.

abc: 4.2506 4.7972 9.7868
angles: 90.00 90.00 90.00
Closest atoms and distances in Å follow each position.
Space group Amm2 (No. 38)
Unique sites:
Rh 0.0000 0.0000 0.0000  2 Cl 2.42, 2 Pb 2.66
Pb 0.5000 0.0000 0.8372  2 Rh 2.66, 2 Cl 2.86
Cl 0.0000 0.0000 0.5326  2 Rh 2.42
Cl 0.5000 0.0000 0.1775  2 Rh 2.74, 2 Pb 2.86

***

(R)
Computed, not measured: crystalline RhPbCl2 at its relaxed geometry at the PBE level of DFT.

abc: 4.6208 4.6208 4.0273
angles: 90.00 90.00 90.00
Closest atoms and distances in Å follow each position.
Space group P4/mmm (No. 123)
Unique sites:
Rh 0.0000 0.0000 0.0000  8 Cl 3.06, 4 Pb 3.27
Pb 0.5000 0.5000 0.0000  8 Cl 3.06, 4 Rh 3.27
Cl 0.0000 0.5000 0.5000  4 Pb 3.06, 4 Rh 3.06, 4 Cl 3.27

***

(S)
Computed, not measured: crystalline RhPbCl2 at its relaxed geometry at the PBE level of DFT.

abc: 3.6132 4.9739 10.6618
angles: 90.00 90.00 90.00
Closest atoms and distances in Å follow each position.
Space group Immm (No. 71)
Unique sites:
Rh 0.0000 0.0000 0.0000  4 Cl 2.52
Pb 0.0000 0.0000 0.5000  4 Cl 3.04, 4 Rh 3.07
Cl 0.0000 0.5000 0.3358  2 Rh 2.52

***

Of them, (Q) has the highest stability.

***

(P)
Computed, not measured: crystalline RhPbSCl2 at its relaxed geometry at the PBE level of DFT.

abc: 4.7698 4.7698 4.8558
angles: 90.00 90.00 90.00
Closest atoms and distances in Å follow each position.
Space group P4/mmm (No. 123)
Unique sites:
Rh 0.0000 0.0000 0.0000  4 Cl 2.38, 2 S 2.43
Pb 0.5000 0.5000 0.5000  4 S 3.37, 8 Cl 3.40
S 0.0000 0.0000 0.5000  2 Rh 2.43
Cl 0.0000 0.5000 0.0000  2 Rh 2.38

***

(Q)
Computed, not measured: crystalline RhPbSCl2 at its relaxed geometry at the PBE level of DFT.

abc: 5.4514 5.4514 5.1619
angles: 90.00 90.00 90.00
Closest atoms and distances in Å follow each position.
Space group P4/mmm (No. 123)
Unique sites:
Rh 0.0000 0.0000 0.0000  8 Cl 3.75, 4 S 3.85
Pb 0.5000 0.5000 0.5000  2 S 2.58, 4 Cl 2.73
S 0.5000 0.5000 0.0000  2 Pb 2.58
Cl 0.0000 0.5000 0.5000  2 Pb 2.73

***

Of them, (P) has the highest stability.

***

(P)
Computed, not measured: crystalline RuPb3Cl at its relaxed geometry at the PBE level of DFT.

abc: 5.3133 5.3133 5.3133
angles: 90.00 90.00 90.00
Closest atoms and distances in Å follow each position.
Space group Pm-3m (No. 221)
Unique sites:
Ru 0.0000 0.0000 0.0000  6 Pb 2.66
Pb 0.0000 0.0000 0.5000  2 Ru 2.66
Cl 0.5000 0.5000 0.5000  12 Pb 3.76

***

(Q)
Computed, not measured: crystalline RuPb3Cl at its relaxed geometry at the PBE level of DFT.

abc: 5.4295 5.4295 5.4295
angles: 90.00 90.00 90.00
Closest atoms and distances in Å follow each position.
Space group Pm-3m (No. 221)
Unique sites:
Ru 0.0000 0.0000 0.0000  12 Pb 3.84
Pb 0.0000 0.5000 0.5000  2 Cl 2.71
Cl 0.5000 0.5000 0.5000  6 Pb 2.71

***

Of them, (P) has the highest stability.

***

(P)
Computed, not measured: crystalline RuPbCl at its relaxed geometry at the PBE level of DFT.

abc: 4.4649 4.4649 3.3916
angles: 90.00 90.00 120.00
Closest atoms and distances in Å follow each position.
Space group P-6m2 (No. 187)
Unique sites:
Ru 0.0000 0.0000 0.0000  3 Cl 2.58
Pb 0.6667 0.3333 0.5000  6 Ru 3.09, 6 Cl 3.09, 2 Pb 3.39
Cl 0.3333 0.6667 0.0000  3 Ru 2.58

***

(Q)
Computed, not measured: crystalline RuPbCl at its relaxed geometry at the PBE level of DFT.

abc: 3.1694 3.1694 13.3218
angles: 90.00 90.00 90.00
Closest atoms and distances in Å follow each position.
Space group I4mm (No. 107)
Unique sites:
Ru 0.0000 0.0000 0.0000  4 Cl 2.67, 4 Pb 2.99
Pb 0.0000 0.0000 0.3519  4 Ru 2.99, 4 Pb 3.17
Cl 0.0000 0.0000 0.6094  4 Ru 2.67

***

(R)
Computed, not measured: crystalline RuPbCl at its relaxed geometry at the PBE level of DFT.

abc: 3.3344 3.3344 7.4508
angles: 90.00 90.00 120.00
Closest atoms and distances in Å follow each position.
Space group P3m1 (No. 156)
Unique sites:
Ru 0.0000 0.0000 0.0000  3 Cl 2.45
Pb 0.3333 0.6667 0.6969  3 Ru 2.97
Cl 0.6667 0.3333 0.2023  3 Ru 2.45

***

Of them, (R) has the highest stability.

***

(P)
Computed, not measured: crystalline RuPbCl at its relaxed geometry at the PBE level of DFT.

abc: 6.4508 6.4508 6.4508
angles: 90.00 90.00 90.00
Closest atoms and distances in Å follow each position.
Space group F-43m (No. 216)
Unique sites:
Ru 0.0000 0.0000 0.0000  4 Cl 2.79, 4 Pb 2.79
Pb 0.2500 0.2500 0.7500  4 Ru 2.79
Cl 0.2500 0.2500 0.2500  4 Ru 2.79

***

(Q)
Computed, not measured: crystalline RuPbCl at its relaxed geometry at the PBE level of DFT.

abc: 3.1108 5.7306 15.5283
angles: 90.00 90.00 90.00
Closest atoms and distances in Å follow each position.
Space group Fmm2 (No. 42)
Unique sites:
Ru 0.0000 0.0000 0.0000  2 Cl 2.34
Pb 0.0000 0.0000 0.3428  2 Ru 2.89, 2 Pb 3.11
Cl 0.0000 0.0000 0.6126  2 Ru 2.34

***

Of them, (Q) has the highest stability.

***

(P)
Computed, not measured: crystalline Pb3SCl3 at its relaxed geometry at the PBE level of DFT.

abc: 8.3709 10.9974 9.6178
angles: 90.00 98.50 90.00
Closest atoms and distances in Å follow each position.
Space group C2/m (No. 12)
Unique sites:
Pb 0.2370 0.0000 0.1207  2 S 2.75-2.87
Pb 0.2469 0.3097 0.2616  1 S 2.74, 3 Cl 2.79-3.01
S 0.0973 0.0000 0.8437  4 Pb 2.74-2.87
Cl 0.0000 0.1976 0.5000  2 Pb 2.88
Cl 0.0000 0.3236 0.0000  4 Pb 3.01-3.27
Cl 0.0591 0.5000 0.3422  2 Pb 2.79

***

(Q)
Computed, not measured: crystalline Pb3SCl3 at its relaxed geometry at the PBE level of DFT.

abc: 12.2552 12.2552 12.2552
angles: 90.00 90.00 90.00
Closest atoms and distances in Å follow each position.
Space group I4_132 (No. 214)
Unique sites:
Pb 0.1195 0.3695 0.1250  4 Cl 2.96-3.13, 2 S 3.00
S 0.1250 0.1250 0.1250  6 Pb 3.00
Cl 0.1163 0.3750 0.3663  4 Pb 2.96-3.13

***

Of them, (Q) has the highest stability.

***

(P)
Computed, not measured: crystalline PbSCl3 at its relaxed geometry at the PBE level of DFT.

abc: 4.3672 7.9917 9.6411
angles: 76.62 82.95 89.73
Closest atoms and distances in Å follow each position.
Space group P-1 (No. 2)
Unique sites:
Pb 0.2365 0.2259 0.0533  5 Cl 2.81-3.04
S 0.4006 0.6089 0.4694  1 S 1.94
Cl 0.2200 0.5990 0.1138  3 Pb 2.87-3.17
Cl 0.2923 0.0359 0.8407  3 Pb 2.81-3.04
Cl 0.3541 0.7712 0.6318  1 S 2.24

***

(Q)
Computed, not measured: crystalline PbSCl3 at its relaxed geometry at the PBE level of DFT.

abc: 5.5201 5.5201 5.5201
angles: 90.00 90.00 90.00
Closest atoms and distances in Å follow each position.
Space group Pm-3m (No. 221)
Unique sites:
Pb 0.0000 0.0000 0.0000  6 Cl 2.76
S 0.5000 0.5000 0.5000  12 Cl 3.90
Cl 0.0000 0.0000 0.5000  2 Pb 2.76

***

Of them, (P) has the highest stability.

***

(P)
Computed, not measured: crystalline Pb2SCl2 at its relaxed geometry at the PBE level of DFT.

abc: 7.8814 7.8814 4.4048
angles: 90.00 90.00 90.00
Closest atoms and distances in Å follow each position.
Space group P4/mbm (No. 127)
Unique sites:
Pb 0.1841 0.3159 0.0000  2 S 2.88, 2 Cl 2.89
S 0.0000 0.0000 0.0000  4 Pb 2.88
Cl 0.1479 0.6479 0.5000  2 Pb 2.89

***

(Q)
Computed, not measured: crystalline Pb2SCl2 at its relaxed geometry at the PBE level of DFT.

abc: 7.4487 4.3019 10.8004
angles: 90.00 104.70 90.00
Closest atoms and distances in Å follow each position.
Space group C2/m (No. 12)
Unique sites:
Pb 0.2273 0.0000 0.1652  3 Cl 2.92, 3 S 3.02
S 0.0000 0.5000 0.0000  6 Pb 3.02
Cl 0.0518 0.0000 0.6872  3 Pb 2.92

***

(R)
Computed, not measured: crystalline Pb2SCl2 at its relaxed geometry at the PBE level of DFT.

abc: 4.4272 17.5307 7.9420
angles: 90.00 90.00 90.00
Closest atoms and distances in Å follow each position.
Space group Cmc2_1 (No. 36)
Unique sites:
Pb 0.0000 0.0734 0.0000  2 S 2.79-2.95, 2 Cl 2.94
Pb 0.0000 0.3335 0.9504  2 S 2.81, 2 Cl 2.91
S 0.0000 0.0749 0.3712  4 Pb 2.79-2.95
Cl 0.0000 0.2936 0.5944  1 Pb 2.91
Cl 0.0000 0.4245 0.2565  3 Pb 2.91-2.94

***

Of them, (Q) has the highest stability.

***

(P)
Computed, not measured: crystalline ScPbS2Cl at its relaxed geometry at the PBE level of DFT.

abc: 5.0299 5.0299 4.8396
angles: 90.00 90.00 90.00
Closest atoms and distances in Å follow each position.
Space group P4/mmm (No. 123)
Unique sites:
Sc 0.0000 0.0000 0.0000  2 Cl 2.42, 4 S 2.51
Pb 0.5000 0.5000 0.5000  8 S 3.49, 4 Cl 3.56
S 0.0000 0.5000 0.0000  2 Sc 2.51
Cl 0.0000 0.0000 0.5000  2 Sc 2.42

***

(Q)
Computed, not measured: crystalline ScPbS2Cl at its relaxed geometry at the PBE level of DFT.

abc: 5.2333 5.2333 5.1928
angles: 90.00 90.00 90.00
Closest atoms and distances in Å follow each position.
Space group P4/mmm (No. 123)
Unique sites:
Sc 0.0000 0.0000 0.0000  8 S 3.69, 4 Cl 3.70
Pb 0.5000 0.5000 0.5000  2 Cl 2.60, 4 S 2.62
S 0.0000 0.5000 0.5000  2 Pb 2.62
Cl 0.5000 0.5000 0.0000  2 Pb 2.60

***

Of them, (P) has the highest stability.

***

(P)
Computed, not measured: crystalline ScPbSCl2 at its relaxed geometry at the PBE level of DFT.

abc: 5.3532 5.3532 5.3702
angles: 90.00 90.00 90.00
Closest atoms and distances in Å follow each position.
Space group P4/mmm (No. 123)
Unique sites:
Sc 0.0000 0.0000 0.0000  4 S 3.79, 8 Cl 3.79
Pb 0.5000 0.5000 0.5000  4 Cl 2.68, 2 S 2.69
S 0.5000 0.5000 0.0000  2 Pb 2.69
Cl 0.0000 0.5000 0.5000  2 Pb 2.68

***

(Q)
Computed, not measured: crystalline ScPbSCl2 at its relaxed geometry at the PBE level of DFT.

abc: 5.2471 5.2471 5.2591
angles: 90.00 90.00 90.00
Closest atoms and distances in Å follow each position.
Space group P4/mmm (No. 123)
Unique sites:
Sc 0.0000 0.0000 0.0000  4 Cl 2.62, 2 S 2.63
Pb 0.5000 0.5000 0.5000  4 S 3.71, 8 Cl 3.71
S 0.0000 0.0000 0.5000  2 Sc 2.63
Cl 0.0000 0.5000 0.0000  2 Sc 2.62

***

Of them, (Q) has the highest stability.